# Sr2SiW

A relaxed Sr2SiW crystal (PBE, Alexandria via LeMat-Bulk).

abc: 3.0826 4.7197 6.8386
angles: 90.00 90.00 90.00
Positions (direct):
Sr 0.0000 0.0000 0.2407
Sr 0.0000 0.0000 0.7593
Si 0.5000 0.5000 0.0000
W 0.5000 0.5000 0.5000

As for the raw formation energy: 884 meV/atom. The calculation puts the total energy at -18.20 eV for the cell shown. Its density is 6.46 g cm⁻³. The calculation puts the size of the total moment at 1.14 μB per cell.